Entry 1:
# PBE TaMoC2, optimized geometry
data_TaMoC2
_chemical_formula_sum 'Ta1 Mo1 C2'
_symmetry_space_group_name_H-M 'P 1'
_symmetry_Int_Tables_number 1
_cell_length_a 3.1311
_cell_length_b 3.1311
_cell_length_c 4.4508
_cell_angle_alpha 90.00
_cell_angle_beta 90.00
_cell_angle_gamma 90.00
loop_
_symmetry_equiv_pos_as_xyz
'x,y,z'
loop_
_atom_site_label
_atom_site_type_symbol
_atom_site_fract_x
_atom_site_fract_y
_atom_site_fract_z
Mo1 Mo 0.0000 0.0000 0.3750
C1 C 0.0000 0.0000 0.8750
C2 C 0.5000 0.5000 0.3750
Ta1 Ta 0.5000 0.5000 0.8751
# * relative energy among the computed polymorphs: 0.21 eV per formula unit
# * SG: P4/mmm (123)

=====

Entry 2:
# PBE Np2Sc3S8, optimized geometry
data_Np2Sc3S8
_chemical_formula_sum 'Np2 Sc3 S8'
_symmetry_space_group_name_H-M 'P 1'
_symmetry_Int_Tables_number 1
_cell_length_a 6.3596
_cell_length_b 7.4475
_cell_length_c 7.7550
_cell_angle_alpha 118.70
_cell_angle_beta 106.47
_cell_angle_gamma 90.00
loop_
_symmetry_equiv_pos_as_xyz
'x,y,z'
loop_
_atom_site_label
_atom_site_type_symbol
_atom_site_fract_x
_atom_site_fract_y
_atom_site_fract_z
Np1 Np 0.6698 0.7426 0.4853
Np2 Np 0.3302 0.2574 0.5147
Sc1 Sc 0.5000 0.0000 0.0000
Sc2 Sc 0.0000 0.2600 0.0000
Sc3 Sc 0.0000 0.7400 0.0000
S1 S 0.0924 0.3888 0.7776
S2 S 0.9076 0.6112 0.2224
S3 S 0.0859 0.8888 0.7776
S4 S 0.9141 0.1112 0.2224
S5 S 0.4113 0.8822 0.2375
S6 S 0.4113 0.3553 0.2375
S7 S 0.5887 0.6447 0.7625
S8 S 0.5887 0.1178 0.7625
# * energy relative to the elements, uncorrected: -1.60 eV/atom
# * SG: C2/m (12)

=====

Entry 3:
# PBE CaSmPtAu, optimized geometry
data_CaSmPtAu
_chemical_formula_sum 'Ca1 Sm1 Pt1 Au1'
_symmetry_space_group_name_H-M 'P 1'
_symmetry_Int_Tables_number 1
_cell_length_a 3.9428
_cell_length_b 4.4445
_cell_length_c 5.9118
_cell_angle_alpha 90.00
_cell_angle_beta 109.48
_cell_angle_gamma 90.00
loop_
_symmetry_equiv_pos_as_xyz
'x,y,z'
loop_
_atom_site_label
_atom_site_type_symbol
_atom_site_fract_x
_atom_site_fract_y
_atom_site_fract_z
Ca1 Ca 0.1418 0.0000 0.2835
Sm1 Sm 0.8636 0.5000 0.7273
Pt1 Pt 0.4111 0.0000 0.8222
Au1 Au 0.5835 0.5000 0.1670
# * relative energy among the computed polymorphs: 0.00 eV per formula unit
# * SG: Amm2 (38)

=====

no.,energy (Ha/atom)
1,-0.3842
2,-0.2790
3,-0.1823